1.
Density functional theory data (GGA-PBE) for an optimized crystal structure of AlHg2Mo.

Cell lengths 10.7710, 2.9729, 5.2299 Å; angles 90.00, 117.09, 90.00 degrees
Positions (direct):
Al1 0.0000 0.0000 0.0000
Al2 0.5000 0.5000 0.0000
Hg1 0.0253 0.5000 0.5376
Hg2 0.2593 0.5000 0.4185
Hg3 0.5253 0.0000 0.5376
Hg4 0.7593 0.0000 0.4185
Mo1 0.2748 0.0000 0.9539
Mo2 0.7748 0.5000 0.9539

Space group: Cm (8)
E (eV/atom): -3.459

=====

2.
Density functional theory data (GGA-PBE) for an optimized crystal structure of AlHgMo3.

Cell lengths 4.9145, 4.9145, 4.9145 Å; angles 90.00, 90.00, 90.00 degrees
Positions (direct):
Al1 0.0000 0.0000 0.0000
Hg1 0.5000 0.5000 0.5000
Mo1 0.0000 0.5000 0.5000
Mo2 0.5000 0.0000 0.5000
Mo3 0.5000 0.5000 0.0000

Space group: Pm-3m (221)
Energy above the lowest structure with this stoichiometry (meV/atom): 1037
E (eV/atom): -4.808

=====

- The highest E belongs to which entry?
  AlHg2Mo

=====

- Which of these has the highest E?
  AlHg2Mo